The following is a GGA-PBE calculation of a geometry-optimized Zr2CdGa structure, from the Alexandria database.

Size of the total moment: 0.000 μB/cell
E_tot: -5.56 eV per atom

Cell lengths 4.1754, 4.4098, 4.4098 Å; angles 90.00, 90.00, 90.00 degrees
Last column: nearest neighbours and their distance in Å.
Sites, in units of the cell vectors:
Zr  0.0000  0.0000  0.5000  4 Cd 3.04, 4 Ga 3.04, 4 Zr 3.12
Zr  0.0000  0.5000  0.0000  4 Cd 3.04, 4 Ga 3.04, 4 Zr 3.12
Cd  0.5000  0.5000  0.5000  8 Zr 3.04, 4 Ga 3.12
Ga  0.5000  0.0000  0.0000  8 Zr 3.04, 4 Cd 3.12

=====

The following is a GGA-PBE calculation of a geometry-optimized ZrCdGa structure, from the Alexandria database.

Size of the total moment: 0.000 μB/cell
E_tot: -4.43 eV per atom

Cell lengths 3.2585, 4.5741, 4.5741 Å; angles 120.00, 90.00, 90.00 degrees
Last column: nearest neighbours and their distance in Å.
Sites, in units of the cell vectors:
Cd  0.1671  0.6667  0.3333  3 Ga 2.64
Zr  0.6667  0.3333  0.6667  6 Cd 3.10, 6 Ga 3.10, 2 Zr 3.26
Ga  0.1663  0.0000  0.0000  3 Cd 2.64

=====

Number 1 is which compound? Zr2CdGa